# Li2NpBeO4

Crystalline Li2NpBeO4 at its relaxed geometry (PBE, Alexandria).

Structure (POSCAR):
```
Li2NpBeO4
1.0
4.8337 -0.0863 -0.1323
-2.1377 4.3361 0.1323
-2.1377 -1.6239 4.0227
Li Be Np O
2 1 1 4
Cartesian
0.2791 2.8030 1.0388
0.0000 0.0000 0.0000
-2.1377 1.3561 2.0775
0.2791 -0.1771 2.9840
-1.3451 2.0661 3.3981
-1.6402 2.4666 0.8961
3.0005 -0.3495 2.3472
1.1013 1.0686 1.4041
```

## Properties
- total magnetic moment (μB per atom) = 0.375
- formation energy (no corrections) (eV/atom) = -2.3174